Below is an optimized crystal structure of ErTh2Rh2, with properties calculated at the PBE level.

abc: 7.8259 7.8259 3.9175
angles: 90.00 90.00 90.00
Last column: nearest neighbours and their distance in Å.
Fractional coordinates of all 10 atoms:
Er 0.0000 0.0000 0.0000  4 Rh 3.04
Er 0.5000 0.5000 0.0000  4 Rh 3.04
Th 0.1680 0.3320 0.5000  6 Rh 2.92-3.09
Th 0.3320 0.8320 0.5000  6 Rh 2.92-3.09
Th 0.6680 0.1680 0.5000  6 Rh 2.92-3.09
Th 0.8320 0.6680 0.5000  6 Rh 2.92-3.09
Rh 0.1358 0.6358 0.0000  6 Th 2.92-3.09, 1 Rh 3.01, 2 Er 3.04
Rh 0.3642 0.1358 0.0000  6 Th 2.92-3.09, 1 Rh 3.01, 2 Er 3.04
Rh 0.6358 0.8642 0.0000  6 Th 2.92-3.09, 1 Rh 3.01, 2 Er 3.04
Rh 0.8642 0.3642 0.0000  6 Th 2.92-3.09, 1 Rh 3.01, 2 Er 3.04

Computed properties:
spin magnetization	0.000	Bohr magnetons per cell
polymorph energy (0 for the lowest one)	0.0000	eV per atom
formation energy	-17.70	kcal/mol of atoms
theoretical density	11.588	g/cm3
crystal system	tetragonal

---

Below is an optimized crystal structure of ErThRh4, with properties calculated at the PBE level.

abc: 5.3757 5.3757 5.3757
angles: 60.00 60.00 60.00
Last column: nearest neighbours and their distance in Å.
Fractional coordinates of all 6 atoms:
Er 0.0000 0.0000 0.0000  12 Rh 3.15, 4 Th 3.29
Th 0.7500 0.7500 0.7500  12 Rh 3.15, 4 Er 3.29
Rh 0.3745 0.3745 0.3745  6 Rh 2.68-2.70
Rh 0.3745 0.3745 0.8765  6 Rh 2.68-2.70
Rh 0.3745 0.8765 0.3745  6 Rh 2.68-2.70
Rh 0.8765 0.3745 0.3745  6 Rh 2.68-2.70

Computed properties:
spin magnetization	0.001	Bohr magnetons per cell
formation energy	-17.51	kcal/mol of atoms
theoretical density	12.258	g/cm3
crystal system	cubic

---

Below is an optimized crystal structure of Er5ThRh6, with properties calculated at the PBE level.

abc: 4.8000 7.0116 7.5815
angles: 90.00 108.32 90.00
Last column: nearest neighbours and their distance in Å.
Fractional coordinates of all 12 atoms:
Er 0.0000 0.0000 0.0000  8 Rh 2.95-2.97
Er 0.3288 0.5000 0.6578  8 Rh 2.94-3.02
Er 0.3321 0.0000 0.6646  8 Rh 2.97-2.98
Er 0.6679 0.0000 0.3354  8 Rh 2.97-2.98
Er 0.6712 0.5000 0.3422  8 Rh 2.94-3.02
Th 0.0000 0.5000 0.0000  8 Rh 2.96-2.97
Rh 0.1655 0.2489 0.3303  7 Er 2.94-2.98, 1 Th 2.96
Rh 0.1655 0.7511 0.3303  7 Er 2.94-2.98, 1 Th 2.96
Rh 0.5000 0.2500 0.0000  6 Er 2.97-3.02, 2 Th 2.97
Rh 0.5000 0.7500 0.0000  6 Er 2.97-3.02, 2 Th 2.97
Rh 0.8345 0.2489 0.6697  7 Er 2.94-2.98, 1 Th 2.96
Rh 0.8345 0.7511 0.6697  7 Er 2.94-2.98, 1 Th 2.96

Computed properties:
spin magnetization	0.000	Bohr magnetons per cell
formation energy	-21.01	kcal/mol of atoms
theoretical density	11.556	g/cm3
crystal system	monoclinic

---

Below is an optimized crystal structure of ErThTlRh, with properties calculated at the PBE level.

abc: 7.3582 7.3582 7.3582
angles: 90.00 90.00 90.00
Last column: nearest neighbours and their distance in Å.
Fractional coordinates of all 16 atoms:
Er 0.0000 0.0000 0.0000  4 Tl 3.19, 4 Rh 3.19
Er 0.0000 0.5000 0.5000  4 Tl 3.19, 4 Rh 3.19
Er 0.5000 0.0000 0.5000  4 Tl 3.19, 4 Rh 3.19
Er 0.5000 0.5000 0.0000  4 Tl 3.19, 4 Rh 3.19
Th 0.0000 0.0000 0.5000  4 Tl 3.19, 4 Rh 3.19
Th 0.0000 0.5000 0.0000  4 Tl 3.19, 4 Rh 3.19
Th 0.5000 0.0000 0.0000  4 Tl 3.19, 4 Rh 3.19
Th 0.5000 0.5000 0.5000  4 Rh 3.19, 4 Tl 3.19
Tl 0.2500 0.2500 0.7500  4 Th 3.19, 4 Er 3.19
Tl 0.2500 0.7500 0.2500  4 Th 3.19, 4 Er 3.19
Tl 0.7500 0.2500 0.2500  4 Th 3.19, 4 Er 3.19
Tl 0.7500 0.7500 0.7500  4 Th 3.19, 4 Er 3.19
Rh 0.2500 0.2500 0.2500  4 Th 3.19, 4 Er 3.19
Rh 0.2500 0.7500 0.7500  4 Th 3.19, 4 Er 3.19
Rh 0.7500 0.2500 0.7500  4 Th 3.19, 4 Er 3.19
Rh 0.7500 0.7500 0.2500  4 Th 3.19, 4 Er 3.19

Computed properties:
spin magnetization	0.000	Bohr magnetons per cell
formation energy	-8.14	kcal/mol of atoms
theoretical density	11.780	g/cm3
crystal system	cubic

---

What did the fourth record say?
Below is an optimized crystal structure of ErThTlRh, with properties calculated at the PBE level.

abc: 7.3582 7.3582 7.3582
angles: 90.00 90.00 90.00
Last column: nearest neighbours and their distance in Å.
Fractional coordinates of all 16 atoms:
Er 0.0000 0.0000 0.0000  4 Tl 3.19, 4 Rh 3.19
Er 0.0000 0.5000 0.5000  4 Tl 3.19, 4 Rh 3.19
Er 0.5000 0.0000 0.5000  4 Tl 3.19, 4 Rh 3.19
Er 0.5000 0.5000 0.0000  4 Tl 3.19, 4 Rh 3.19
Th 0.0000 0.0000 0.5000  4 Tl 3.19, 4 Rh 3.19
Th 0.0000 0.5000 0.0000  4 Tl 3.19, 4 Rh 3.19
Th 0.5000 0.0000 0.0000  4 Tl 3.19, 4 Rh 3.19
Th 0.5000 0.5000 0.5000  4 Rh 3.19, 4 Tl 3.19
Tl 0.2500 0.2500 0.7500  4 Th 3.19, 4 Er 3.19
Tl 0.2500 0.7500 0.2500  4 Th 3.19, 4 Er 3.19
Tl 0.7500 0.2500 0.2500  4 Th 3.19, 4 Er 3.19
Tl 0.7500 0.7500 0.7500  4 Th 3.19, 4 Er 3.19
Rh 0.2500 0.2500 0.2500  4 Th 3.19, 4 Er 3.19
Rh 0.2500 0.7500 0.7500  4 Th 3.19, 4 Er 3.19
Rh 0.7500 0.2500 0.7500  4 Th 3.19, 4 Er 3.19
Rh 0.7500 0.7500 0.2500  4 Th 3.19, 4 Er 3.19

Computed properties:
spin magnetization	0.000	Bohr magnetons per cell
formation energy	-8.14	kcal/mol of atoms
theoretical density	11.780	g/cm3
crystal system	cubic

---

Q: Among the records above, which one has the highest theoretical density?
A: ErThRh4

---

Copy entry 3 word for word.
Below is an optimized crystal structure of Er5ThRh6, with properties calculated at the PBE level.

abc: 4.8000 7.0116 7.5815
angles: 90.00 108.32 90.00
Last column: nearest neighbours and their distance in Å.
Fractional coordinates of all 12 atoms:
Er 0.0000 0.0000 0.0000  8 Rh 2.95-2.97
Er 0.3288 0.5000 0.6578  8 Rh 2.94-3.02
Er 0.3321 0.0000 0.6646  8 Rh 2.97-2.98
Er 0.6679 0.0000 0.3354  8 Rh 2.97-2.98
Er 0.6712 0.5000 0.3422  8 Rh 2.94-3.02
Th 0.0000 0.5000 0.0000  8 Rh 2.96-2.97
Rh 0.1655 0.2489 0.3303  7 Er 2.94-2.98, 1 Th 2.96
Rh 0.1655 0.7511 0.3303  7 Er 2.94-2.98, 1 Th 2.96
Rh 0.5000 0.2500 0.0000  6 Er 2.97-3.02, 2 Th 2.97
Rh 0.5000 0.7500 0.0000  6 Er 2.97-3.02, 2 Th 2.97
Rh 0.8345 0.2489 0.6697  7 Er 2.94-2.98, 1 Th 2.96
Rh 0.8345 0.7511 0.6697  7 Er 2.94-2.98, 1 Th 2.96

Computed properties:
spin magnetization	0.000	Bohr magnetons per cell
formation energy	-21.01	kcal/mol of atoms
theoretical density	11.556	g/cm3
crystal system	monoclinic

---

Q: Among the records above, which one has the lowest theoretical density?
A: Er5ThRh6